This record from Alexandria describes a relaxed Sm6As3S2I crystal. The functional is PBE.

extended XYZ file:
```
12
Lattice="9.121 -2.092 0.000 9.121 2.092 0.000 -1.864 0.000 8.220" Properties=species:S:1:pos:R:3 pbc="T T T"
Sm -0.437 0.000 2.316
Sm 4.152 0.000 7.444
Sm 5.284 0.000 3.416
Sm 11.095 0.000 4.804
Sm 12.227 0.000 0.776
Sm 16.815 0.000 5.904
As 1.366 0.000 6.860
As 8.189 0.000 4.110
As 15.013 0.000 1.360
S 2.449 0.000 2.750
S 13.930 0.000 5.470
I 9.121 0.000 0.000
```

Results
- formation energy from raw total energies (eV/atom) = -1.586
- total magnetization (μB per cell) = 0.0
- Fermi-level density of states (states/eV per cell) = 4.4
- uncorrected energy (eV for the cell shown) = -71.10
- SG = C2/m (12)